LaHg | PBE | optimized geometry

* spin magnetization: 0.0 μB per cell
* crystal system: hexagonal
* ρ: 8671 kg/m3
* energy: -2.97 eV per atom
* symmetry: P6_3/mmc

Geometry as POSCAR:
```
LaHg
1.0
3.9963 0.0000 0.0000
-1.9981 3.4609 0.0000
0.0000 0.0000 9.4016
La Hg
2 2
Cartesian
0.0000 2.3073 2.3504 La
1.9981 1.1536 7.0512 La
0.0000 0.0000 0.0000 Hg
0.0000 0.0000 4.7008 Hg
```

LaHg7 | PBE | optimized geometry

* spin magnetization: 0.7 μB per cell
* crystal system: cubic
* ρ: 11609 kg/m3
* energy: -1.02 eV per atom
* symmetry: Fm-3m

Geometry as POSCAR:
```
LaHg7
1.0
0.0000 4.7966 4.7966
4.7966 0.0000 4.7966
4.7966 4.7966 0.0000
La Hg
1 7
Cartesian
0.0000 0.0000 0.0000 La
2.3983 2.3983 0.0000 Hg
2.3983 0.0000 2.3983 Hg
4.7966 2.3983 2.3983 Hg
0.0000 2.3983 2.3983 Hg
2.3983 4.7966 2.3983 Hg
2.3983 2.3983 4.7966 Hg
4.7966 4.7966 4.7966 Hg
```

La5Hg6 | PBE | optimized geometry

* spin magnetization: 0.0 μB per cell
* crystal system: orthorhombic
* ρ: 9011 kg/m3
* energy: -2.82 eV per atom
* symmetry: Immm

Geometry as POSCAR:
```
La5Hg6
1.0
-2.7040 3.9301 8.2287
2.7040 -3.9301 8.2287
2.7040 3.9301 -8.2287
La Hg
5 6
Cartesian
0.0000 0.0000 0.0000 La
2.7040 0.0000 2.8547 La
0.0000 0.0000 5.8274 La
0.0000 0.0000 10.6300 La
0.0000 3.9301 5.3740 La
2.7040 -2.0112 5.4435 Hg
2.7040 1.7776 0.0000 Hg
0.0000 1.9190 2.7853 Hg
2.7040 2.0112 5.4435 Hg
0.0000 2.1525 8.2287 Hg
0.0000 5.9413 2.7853 Hg
```

LaHg | PBE | optimized geometry

* spin magnetization: 0.0 μB per cell
* crystal system: trigonal
* ρ: 8834 kg/m3
* energy: -2.77 eV per atom
* symmetry: P-3m1

Geometry as POSCAR:
```
LaHg
1.0
3.7903 0.0000 0.0000
-1.8951 3.2825 0.0000
0.0000 0.0000 10.2579
La Hg
2 2
Cartesian
0.0000 2.1883 3.6029 La
1.8951 1.0942 6.6551 La
0.0000 2.1883 9.1523 Hg
1.8951 1.0942 1.1057 Hg
```

La3Hg | PBE | optimized geometry

* spin magnetization: 0.0 μB per cell
* crystal system: hexagonal
* ρ: 7378 kg/m3
* energy: -3.90 eV per atom
* symmetry: P-6m2

Geometry as POSCAR:
```
La3Hg
1.0
3.8110 0.0000 0.0000
-1.9055 3.3004 0.0000
0.0000 0.0000 11.0455
La Hg
3 1
Cartesian
0.0000 0.0000 0.0000 La
0.0000 2.2003 3.0401 La
0.0000 2.2003 8.0054 La
0.0000 0.0000 5.5227 Hg
```

La3Hg | PBE | optimized geometry

* spin magnetization: 0.0 μB per cell
* crystal system: cubic
* ρ: 8032 kg/m3
* energy: -3.97 eV per atom
* symmetry: Pm-3m

Geometry as POSCAR:
```
La3Hg
1.0
5.0347 0.0000 0.0000
0.0000 5.0347 0.0000
0.0000 0.0000 5.0347
La Hg
3 1
Cartesian
0.0000 0.0000 2.5174 La
0.0000 2.5174 0.0000 La
2.5174 0.0000 0.0000 La
2.5174 2.5174 2.5174 Hg
```

LaHg3 | PBE | optimized geometry

* spin magnetization: 0.0 μB per cell
* crystal system: orthorhombic
* ρ: 11252 kg/m3
* energy: -1.82 eV per atom
* symmetry: Pmm2

Geometry as POSCAR:
```
LaHg3
1.0
4.6579 0.0000 0.0000
0.0000 4.8356 0.0000
0.0000 0.0000 4.8530
La Hg
1 3
Cartesian
0.0000 0.0000 0.0000 La
0.0000 2.4178 2.4261 Hg
2.3290 0.0000 2.4303 Hg
2.3290 2.4178 0.0057 Hg
```

LaHg | PBE | optimized geometry

* spin magnetization: 0.0 μB per cell
* crystal system: trigonal
* ρ: 8862 kg/m3
* energy: -2.91 eV per atom
* symmetry: R-3m

Geometry as POSCAR:
```
LaHg
1.0
2.5146 1.4518 5.8085
-2.5146 1.4518 5.8085
0.0000 -2.9036 5.8085
La Hg
2 2
Cartesian
0.0000 0.0000 1.6896 La
0.0000 0.0000 15.7360 La
0.0000 0.0000 5.3691 Hg
0.0000 0.0000 12.0565 Hg
```

La3Hg2 | PBE | optimized geometry

* spin magnetization: 0.8 μB per cell
* crystal system: tetragonal
* ρ: 8753 kg/m3
* energy: -3.47 eV per atom
* symmetry: I4/mmm

Geometry as POSCAR:
```
La3Hg2
1.0
-1.9591 1.9591 10.1071
1.9591 -1.9591 10.1071
1.9591 1.9591 -10.1071
La Hg
3 2
Cartesian
0.0000 0.0000 0.0000 La
0.0000 0.0000 3.8469 La
0.0000 0.0000 16.3673 La
0.0000 0.0000 8.0816 Hg
0.0000 0.0000 12.1325 Hg
```

LaHg | PBE | optimized geometry

* spin magnetization: 0.0 μB per cell
* crystal system: hexagonal
* ρ: 8863 kg/m3
* energy: -2.94 eV per atom
* symmetry: P-6m2

Geometry as POSCAR:
```
LaHg
1.0
3.8875 0.0000 0.0000
-1.9438 3.3667 0.0000
0.0000 0.0000 4.8596
La Hg
1 1
Cartesian
0.0000 0.0000 0.0000 La
1.9438 1.1222 2.4298 Hg
```

La2Hg5 | PBE | optimized geometry

* spin magnetization: 0.0 μB per cell
* crystal system: orthorhombic
* ρ: 11113 kg/m3
* energy: -2.07 eV per atom
* symmetry: Ibam

Geometry as POSCAR:
```
La2Hg5
1.0
-3.7954 7.1926 3.5052
3.7954 -7.1926 3.5052
3.7954 7.1926 -3.5052
La Hg
4 10
Cartesian
1.5237 1.6175 0.0000 La
1.5237 -1.6175 3.5052 La
2.2717 8.8101 0.0000 La
2.2717 5.5751 3.5052 La
3.7954 -3.2870 1.7526 Hg
5.9097 1.6455 0.0000 Hg
3.7954 0.0000 1.7526 Hg
2.1143 5.5471 0.0000 Hg
3.7954 3.2870 1.7526 Hg
0.0000 3.9057 1.7526 Hg
1.6812 1.6455 3.5052 Hg
0.0000 7.1926 1.7526 Hg
-2.1143 5.5471 3.5052 Hg
0.0000 10.4796 1.7526 Hg
```

LaHg | PBE | optimized geometry

* spin magnetization: 0.0 μB per cell
* crystal system: orthorhombic
* ρ: 8767 kg/m3
* energy: -2.99 eV per atom
* symmetry: Fddd

Geometry as POSCAR:
```
LaHg
1.0
0.0000 4.9892 6.2443
4.1283 0.0000 6.2443
4.1283 4.9892 0.0000
La Hg
4 4
Cartesian
3.0962 0.7352 4.6832 La
5.1604 3.2298 7.8054 La
3.0962 6.7486 4.6832 La
5.1604 9.2432 7.8054 La
4.5662 3.7419 4.6832 Hg
6.6303 6.2365 7.8054 Hg
1.6263 3.7419 4.6832 Hg
3.6905 6.2365 7.8054 Hg
```